DFT (PBE) results for an optimized crystal structure of Pm3TlSe.

Results
Total energy: -4.78 eV per atom
E_form (uncorrected): -0.761 eV/atom
Total magnetic moment: 0.0 μB/f.u.

Unit cell a=9.474 b=6.872 c=10.560 alpha=90.00 beta=114.69 gamma=90.00
Space group P2_1/c (No. 14)
One atom of each set of equivalent atoms:
Pm: 0.075 0.085 0.342
Pm: 0.216 0.577 0.543
Pm: 0.386 0.126 0.800
Tl: 0.398 0.665 0.884
Se: 0.081 0.235 0.598